HgIr2Au | GGA-PBE | optimized geometry

mass density: 19.3 g cm⁻³
total magnetic moment: 0.00 Bohr magnetons per cell
DFT total energy: -18.87 eV per cell

Cell lengths 2.8881, 3.9945, 5.8414 Å; angles 90.00, 90.00, 90.00 degrees
Last column: nearest neighbours and their distance in Å.
Atoms (fractional coordinates):
Au  0.5000  0.5000  0.2500  8 Ir 2.83, 2 Au 2.89, 2 Hg 2.92
Hg  0.5000  0.5000  0.7500  2 Hg 2.89, 8 Ir 2.90, 2 Au 2.92
Ir  0.0000  0.0000  0.0102  4 Ir 2.80-3.04, 4 Au 2.83, 4 Hg 2.90
Ir  0.0000  0.0000  0.4898  4 Ir 2.80-3.04, 4 Au 2.83, 4 Hg 2.90